(1)
Compound: Er2InTc
Source: the Alexandria database
Functional: GGA-PBE
Structure: optimized geometry

It has space group Fm-3m (No. 225), with a = 7.1140 Å, b = 7.1140 Å, c = 7.1140 Å, α = 90.00°, β = 90.00° and γ = 90.00°. The distinct sites, in fractional coordinates, are Er at (0.2500, 0.2500, 0.2500), In at (0.0000, 0.0000, 0.0000) and Tc at (0.0000, 0.0000, 0.5000).

The calculation puts the distance to the lowest polymorph of the same formula at 93.3 meV per atom. Its formation energy is -0.179 eV per atom.

---

(2)
Compound: Sc2CoSn
Source: the Alexandria database
Functional: GGA-PBE
Structure: optimized geometry

It has space group R-3m (No. 166, hexagonal axes), with a = 3.1522 Å, b = 3.1522 Å, c = 28.9127 Å, α = 90.00°, β = 90.00° and γ = 120.00°. The distinct sites, in fractional coordinates, are Sc at (0.0000, 0.0000, 0.0792), Co at (0.0000, 0.0000, 0.0000) and Sn at (0.0000, 0.0000, 0.5000).

Its formation energy is 0.218 eV per atom.

---

(3)
Compound: Tb2V2Ni15
Source: the Alexandria database
Functional: GGA-PBE
Structure: optimized geometry

It has space group R-3m (No. 166, hexagonal axes), with a = 8.2900 Å, b = 8.2900 Å, c = 12.2485 Å, α = 90.00°, β = 90.00° and γ = 120.00°. The distinct sites, in fractional coordinates, are Tb at (0.0000, 0.0000, 0.1565), V at (0.0000, 0.0000, 0.4097), Ni at (0.0000, 0.2986, 0.5000), Ni at (0.0000, 0.5000, 0.0000) and Ni at (0.0027, 0.5013, 0.3437).

Its formation energy is -0.251 eV per atom.

---

(4)
Compound: Zr2TaNiRu
Source: the Alexandria database
Functional: GGA-PBE
Structure: optimized geometry

It has space group P4/mmm (No. 123), with a = 5.0969 Å, b = 5.0969 Å, c = 4.3614 Å, α = 90.00°, β = 90.00° and γ = 90.00°. The distinct sites, in fractional coordinates, are Zr at (0.0000, 0.5000, 0.0000), Ta at (0.0000, 0.0000, 0.0000), Ni at (0.0000, 0.0000, 0.5000) and Ru at (0.5000, 0.5000, 0.5000).

Its formation energy is 1.316 eV per atom.

---

(5)
Compound: YSb
Source: the Alexandria database
Functional: GGA-PBE
Structure: optimized geometry

It has space group Cmmm (No. 65), with a = 4.6615 Å, b = 5.9463 Å, c = 4.0448 Å, α = 90.00°, β = 90.00° and γ = 90.00°. The distinct sites, in fractional coordinates, are Y at (0.0000, 0.0000, 0.0000) and Sb at (0.0000, 0.5000, 0.5000).

For the uncorrected formation energy, the calculation gives -891 meV per atom.

---

(6)
Compound: LiMgCo2
Source: the Alexandria database
Functional: GGA-PBE
Structure: optimized geometry

It has space group R-3m (No. 166, hexagonal axes), with a = 2.6389 Å, b = 2.6389 Å, c = 26.3393 Å, α = 90.00°, β = 90.00° and γ = 120.00°. The distinct sites, in fractional coordinates, are Li at (0.0000, 0.0000, 0.0000), Mg at (0.0000, 0.0000, 0.5000) and Co at (0.0000, 0.0000, 0.2506).

Its formation energy is 0.278 eV per atom.

---

(7)
Compound: CeZn11Co
Source: the Alexandria database
Functional: GGA-PBE
Structure: optimized geometry

It has space group C2/m (No. 12), with a = 5.0075 Å, b = 12.7410 Å, c = 6.8070 Å, α = 90.00°, β = 111.29° and γ = 90.00°. The distinct sites, in fractional coordinates, are Ce at (0.0000, 0.0000, 0.0000), Zn at (0.0000, 0.0000, 0.5000), Zn at (0.1043, 0.3924, 0.2239), Zn at (0.1965, 0.1714, 0.3608), Zn at (0.2500, 0.2500, 0.0000) and Co at (0.0000, 0.5000, 0.5000).

Its formation energy is -0.158 eV per atom.

---

(8)
Compound: Sm2HoCo9
Source: the Alexandria database
Functional: GGA-PBE
Structure: optimized geometry

It has space group R-3m (No. 166, hexagonal axes), with a = 4.9838 Å, b = 4.9838 Å, c = 24.7084 Å, α = 90.00°, β = 90.00° and γ = 120.00°. The distinct sites, in fractional coordinates, are Sm at (0.0000, 0.0000, 0.1395), Ho at (0.0000, 0.0000, 0.0000), Co at (0.0000, 0.0000, 0.3339), Co at (0.0000, 0.0000, 0.5000) and Co at (0.0006, 0.5003, 0.0794).

Its formation energy is -0.121 eV per atom.

---

(9)
Compound: SrSc2I
Source: the Alexandria database
Functional: GGA-PBE
Structure: optimized geometry

It has space group Fm-3m (No. 225), with a = 7.7812 Å, b = 7.7812 Å, c = 7.7812 Å, α = 90.00°, β = 90.00° and γ = 90.00°. The distinct sites, in fractional coordinates, are Sr at (0.0000, 0.0000, 0.0000), Sc at (0.2500, 0.2500, 0.2500) and I at (0.0000, 0.0000, 0.5000).

For the uncorrected formation energy, the calculation gives 354 meV per atom. The calculation puts the distance to the lowest polymorph of the same formula at 274.4 meV per atom.

---

(10)
Compound: Ir2PdRuBr
Source: the Alexandria database
Functional: GGA-PBE
Structure: optimized geometry

It has space group P4/mmm (No. 123), with a = 4.6774 Å, b = 4.6774 Å, c = 5.0209 Å, α = 90.00°, β = 90.00° and γ = 90.00°. The distinct sites, in fractional coordinates, are Ir at (0.0000, 0.5000, 0.0000), Pd at (0.0000, 0.0000, 0.5000), Ru at (0.0000, 0.0000, 0.0000) and Br at (0.5000, 0.5000, 0.5000).

For the uncorrected formation energy, the calculation gives 1649 meV per atom. The calculation puts the distance to the lowest polymorph of the same formula at 0.0 meV per atom.

---

(11)
Compound: Ba2SrCd2
Source: the Alexandria database
Functional: GGA-PBE
Structure: optimized geometry

It has space group P2_1/m (No. 11), with a = 6.7684 Å, b = 5.2321 Å, c = 12.9707 Å, α = 90.00°, β = 95.99° and γ = 90.00°. The distinct sites, in fractional coordinates, are Ba at (0.1064, 0.2500, 0.3760), Ba at (0.2485, 0.2500, 0.0449), Sr at (0.4023, 0.2500, 0.7079), Cd at (0.2366, 0.7500, 0.8520) and Cd at (0.3831, 0.7500, 0.5254).

The calculation puts the distance to the lowest polymorph of the same formula at 46.0 meV per atom. Its formation energy is -0.199 eV per atom.

---

(12)
Compound: LaSiTe2
Source: the Alexandria database
Functional: GGA-PBE
Structure: optimized geometry

It has space group Pmmm (No. 47), with a = 4.0869 Å, b = 5.1535 Å, c = 5.1836 Å, α = 90.00°, β = 90.00° and γ = 90.00°. The distinct sites, in fractional coordinates, are La at (0.0000, 0.0000, 0.0000), Si at (0.0000, 0.5000, 0.5000), Te at (0.5000, 0.0000, 0.5000) and Te at (0.5000, 0.5000, 0.0000).

For the uncorrected formation energy, the calculation gives -560 meV per atom.

---

| no. | uncorrected energy (eV/atom) |
| --- | --- |
| 1 | -5.737 |
| 2 | -5.725 |
| 3 | -6.262 |
| 4 | -7.486 |
| 5 | -6.184 |
| 6 | -4.152 |
| 7 | -2.239 |
| 8 | -6.618 |
| 9 | -3.620 |
| 10 | -5.124 |
| 11 | -1.670 |
| 12 | -4.719 |